# 1
Here is crystalline Tl5HgI8 at its relaxed geometry from Alexandria via LeMat-Bulk. Energies are from PBE-GGA.

Output
Symmetry   I-4
Formation energy (no corrections)   -0.491 eV/atom
Size of the total moment   0.00 μB/cell

a = 9.839 Å, b = 9.839 Å, c = 9.839 Å
α = 105.42°, β = 105.42°, γ = 117.92°
Sites, in units of the cell vectors:
Tl  0.000  0.000  0.000
Tl  0.126  0.129  0.497
Tl  0.371  0.874  0.003
Tl  0.632  0.629  0.503
Tl  0.871  0.368  0.997
Hg  0.750  0.250  0.500
I  0.083  0.813  0.183
I  0.090  0.423  0.754
I  0.099  0.917  0.730
I  0.187  0.370  0.270
I  0.577  0.331  0.667
I  0.630  0.901  0.817
I  0.664  0.910  0.333
I  0.669  0.336  0.246

# 2
Here is crystalline RbTaTl3 at its relaxed geometry from Alexandria via LeMat-Bulk. Energies are from PBE-GGA.

Output
Excess energy over the best structure of this formula in the dataset   0 meV/atom
ΔE_f   0.36 eV/atom
Symmetry   Pm-3m
Size of the total moment   0.00 μB/cell

a = 5.594 Å, b = 5.594 Å, c = 5.594 Å
α = 90.00°, β = 90.00°, γ = 90.00°
Sites, in units of the cell vectors:
Rb  0.000  0.000  0.000
Ta  0.500  0.500  0.500
Tl  0.000  0.500  0.500
Tl  0.500  0.000  0.500
Tl  0.500  0.500  0.000

# 3
Here is crystalline Tb5Rh4Pb at its relaxed geometry from Alexandria via LeMat-Bulk. Energies are from PBE-GGA.

Output
ΔE_f   -0.77 eV/atom
Symmetry   P4/mmm
Size of the total moment   0.00 μB/cell

a = 3.389 Å, b = 3.389 Å, c = 19.159 Å
α = 90.00°, β = 90.00°, γ = 90.00°
Sites, in units of the cell vectors:
Tb  0.000  0.000  0.000
Tb  0.000  0.000  0.186
Tb  0.000  0.000  0.370
Tb  0.000  0.000  0.630
Tb  0.000  0.000  0.814
Rh  0.500  0.500  0.093
Rh  0.500  0.500  0.280
Rh  0.500  0.500  0.720
Rh  0.500  0.500  0.907
Pb  0.500  0.500  0.500

# 4
Here is crystalline EuCr3 at its relaxed geometry from Alexandria via LeMat-Bulk. Energies are from PBE-GGA.

Output
ΔE_f   0.76 eV/atom
Symmetry   Fm-3m
Size of the total moment   41.37 μB/cell

a = 6.710 Å, b = 6.710 Å, c = 6.710 Å
α = 90.00°, β = 90.00°, γ = 90.00°
Sites, in units of the cell vectors:
Eu  0.000  0.000  0.000
Eu  0.000  0.500  0.500
Eu  0.500  0.000  0.500
Eu  0.500  0.500  0.000
Cr  0.000  0.000  0.500
Cr  0.000  0.500  0.000
Cr  0.250  0.250  0.250
Cr  0.250  0.250  0.750
Cr  0.250  0.750  0.250
Cr  0.250  0.750  0.750
Cr  0.500  0.000  0.000
Cr  0.500  0.500  0.500
Cr  0.750  0.250  0.250
Cr  0.750  0.250  0.750
Cr  0.750  0.750  0.250
Cr  0.750  0.750  0.750

# 5
Here is crystalline PmMg2Ga6 at its relaxed geometry from Alexandria via LeMat-Bulk. Energies are from PBE-GGA.

Output
Excess energy over the best structure of this formula in the dataset   0 meV/atom
ΔE_f   -0.27 eV/atom
Symmetry   P6/mmm
Size of the total moment   0.00 μB/cell

a = 7.833 Å, b = 7.833 Å, c = 3.372 Å
α = 90.00°, β = 90.00°, γ = 120.00°
Sites, in units of the cell vectors:
Pm  0.000  0.000  0.000
Mg  0.333  0.667  0.000
Mg  0.667  0.333  0.000
Ga  0.000  0.339  0.500
Ga  0.000  0.661  0.500
Ga  0.339  0.000  0.500
Ga  0.339  0.339  0.500
Ga  0.661  0.000  0.500
Ga  0.661  0.661  0.500

# 6
Here is crystalline MnMoPb at its relaxed geometry from Alexandria via LeMat-Bulk. Energies are from PBE-GGA.

Output
Excess energy over the best structure of this formula in the dataset   34 meV/atom
ΔE_f   0.58 eV/atom
Symmetry   F-43m
Size of the total moment   4.00 μB/cell

a = 6.091 Å, b = 6.091 Å, c = 6.091 Å
α = 90.00°, β = 90.00°, γ = 90.00°
Sites, in units of the cell vectors:
Mn  0.000  0.000  0.000
Mn  0.000  0.500  0.500
Mn  0.500  0.000  0.500
Mn  0.500  0.500  0.000
Mo  0.250  0.250  0.750
Mo  0.250  0.750  0.250
Mo  0.750  0.250  0.250
Mo  0.750  0.750  0.750
Pb  0.250  0.250  0.250
Pb  0.250  0.750  0.750
Pb  0.750  0.250  0.750
Pb  0.750  0.750  0.250